Entry from Alexandria via LeMat-Bulk: an optimized crystal structure of Tb12Cd3H5 (GGA-PBE).

Values from the calculation:
Total DFT energy (no corrections)   -3.9524 eV per atom
Magnetization   0.000 μB per formula unit
Space group   Ia-3d, No. 230
Calculated density   7.84 g cm⁻³
V   23.8 Å³/atom

Geometry as extended XYZ:
```
80
Lattice="-9.011 -9.994 -1.384 11.065 -4.729 6.181 -5.400 9.947 7.410" Properties=species:S:1:pos:R:3 pbc="T T T"
Tb -2.517 0.044 6.289
Tb 0.161 0.151 2.572
Tb -0.830 -4.821 5.917
Tb -1.975 -7.764 7.524
Tb -6.164 -8.797 3.250
Tb -6.321 -2.754 9.149
Tb -5.665 1.393 4.524
Tb 2.974 -2.023 3.057
Tb -4.056 -3.307 6.480
Tb -3.754 0.094 9.537
Tb 0.709 -1.469 5.726
Tb -0.785 -7.940 4.144
Tb 1.826 -3.742 10.421
Tb -0.420 0.229 10.856
Tb -3.882 -6.361 4.829
Tb -4.472 4.617 5.549
Tb 2.668 -12.228 4.551
Tb 7.008 -1.336 8.361
Tb 1.871 2.658 12.434
Tb -7.209 -1.956 4.724
Tb -11.893 -0.611 5.961
Tb -5.217 -7.435 -0.228
Tb -7.410 -5.457 4.215
Tb 2.743 -7.206 4.320
Tb 8.547 -4.165 6.245
Tb 3.106 -0.684 11.465
Tb -6.090 2.429 7.886
Tb 0.407 -4.871 2.669
Tb -1.372 2.988 4.682
Tb -6.453 -4.092 0.741
Tb -1.328 -2.401 8.661
Tb -3.508 -4.928 9.634
Tb -8.653 -0.421 7.488
Tb -2.018 -2.376 3.545
Tb -3.355 -10.783 3.747
Tb 0.536 1.584 7.377
Tb -5.173 -1.034 1.785
Tb 5.306 -4.356 4.718
Tb -2.562 3.163 8.062
Tb 1.125 -9.394 6.658
Tb 2.319 -6.170 7.682
Tb 3.862 -2.821 7.482
Tb 2.818 4.020 8.956
Tb -2.927 -5.006 1.350
Tb -6.014 7.451 7.655
Tb 0.009 6.006 8.459
Tb -10.354 -3.441 3.845
Tb 4.064 0.681 7.991
Cd 1.544 -1.078 8.747
Cd 4.505 2.073 10.792
Cd -7.852 -6.849 1.414
Cd 2.186 -4.217 5.196
Cd -0.261 -11.049 4.351
Cd -5.533 -0.560 7.010
Cd -2.895 0.640 3.205
Cd -3.284 -8.026 2.206
Cd -3.085 6.272 7.856
Cd -0.452 -5.417 9.001
Cd -0.062 3.249 10.000
Cd -4.891 -3.699 3.459
H -10.101 0.617 6.218
H -8.494 -3.711 4.965
H 5.147 -1.066 7.241
H 6.754 -5.393 5.988
H -2.058 -1.090 10.254
H 2.700 -7.898 6.395
H -1.479 1.945 6.603
H 2.832 2.609 6.795
H -7.206 -0.024 3.013
H -5.019 -4.241 8.209
H -1.673 -2.388 6.103
H 0.000 0.000 0.000
H -1.868 -6.721 5.603
H 5.533 -2.365 3.090
H -6.046 3.121 5.811
H -2.700 4.973 3.705
H 1.673 -0.536 3.997
H -4.506 -4.997 -0.692
H 1.027 -7.362 2.398
H -1.288 -3.687 1.952
```

***

Entry from Alexandria via LeMat-Bulk: an optimized crystal structure of Tb3Cd5H12 (GGA-PBE).

Values from the calculation:
Total DFT energy (no corrections)   -2.9568 eV per atom
Magnetization   0.000 μB per formula unit
Space group   Ia-3d, No. 230
Calculated density   6.91 g cm⁻³
V   12.6 Å³/atom

Geometry as extended XYZ:
```
80
Lattice="10.948 0.000 0.000 -3.649 10.322 0.000 -3.649 -5.161 8.939" Properties=species:S:1:pos:R:3 pbc="T T T"
H 1.675 1.414 8.123
H 4.424 -0.530 5.286
H 0.558 6.162 6.102
H -0.149 3.747 0.816
H 3.799 -1.414 8.123
H -0.149 6.575 0.817
H -2.875 8.589 1.368
H 8.073 2.262 2.285
H -1.267 -0.377 3.918
H 4.700 8.060 2.285
H 1.758 -1.472 5.286
H 1.675 -1.414 8.123
H -4.424 2.899 6.654
H 2.383 1.001 2.837
H -1.050 3.428 7.571
H -3.091 4.784 5.021
H 7.232 -2.428 5.837
H -1.758 -3.900 8.387
H -2.383 5.785 6.755
H 6.032 -0.624 2.184
H 7.448 5.161 1.633
H 1.050 0.530 5.286
H 5.325 5.161 1.633
H 6.741 0.377 3.918
H 4.700 1.733 1.368
H 7.366 1.261 0.552
H 4.208 4.537 6.755
H 3.091 -1.001 2.837
H 6.524 -3.428 7.571
H -0.067 3.689 3.654
H -0.774 5.691 3.653
H 5.407 2.733 3.102
H -1.758 2.428 5.837
H -1.675 0.000 7.307
H 5.407 9.061 0.552
H 1.267 4.160 6.102
H -3.716 3.900 8.387
H 4.916 5.538 5.021
H 3.799 1.414 8.123
H 3.716 1.472 5.286
H -1.050 -2.899 6.654
H -3.583 7.589 3.102
H 1.974 6.575 0.816
H -3.799 0.000 7.307
H 2.599 4.631 3.653
H 1.974 3.747 0.817
H -0.558 0.624 2.184
H 1.892 6.633 3.654
Cd 2.737 1.935 1.117
Cd 0.000 0.000 0.000
Cd -0.912 2.581 2.235
Cd 0.912 -2.581 6.704
Cd 6.386 -0.645 5.587
Cd 1.825 2.581 4.470
Cd 5.474 0.000 0.000
Cd 2.737 7.742 2.235
Cd 3.649 -2.581 4.470
Cd -2.737 5.806 3.352
Cd 0.912 3.226 7.822
Cd -0.912 8.387 1.117
Cd 3.649 5.161 0.000
Cd -3.649 2.581 4.470
Cd -1.825 -2.581 4.470
Cd -1.825 5.161 0.000
Cd 4.562 -3.226 7.822
Cd 4.562 2.581 6.704
Cd -0.912 0.645 5.587
Cd 4.562 4.516 3.352
Tb -2.737 -1.935 7.822
Tb 4.562 0.645 3.352
Tb -4.562 5.161 6.704
Tb 6.386 7.096 1.117
Tb 8.211 0.000 2.235
Tb 0.912 5.161 2.235
Tb 6.386 3.226 1.117
Tb -2.737 1.935 7.822
Tb 2.737 5.806 5.587
Tb 0.912 -0.645 3.352
Tb -0.912 4.516 5.587
Tb 2.737 0.000 6.704
```

***

Entry from Alexandria via LeMat-Bulk: an optimized crystal structure of TbCdH (GGA-PBE).

Values from the calculation:
Total DFT energy (no corrections)   -3.2367 eV per atom
Magnetization   0.003 μB per formula unit
Space group   P3m1, No. 156
Calculated density   7.45 g cm⁻³
V   20.2 Å³/atom

Geometry as extended XYZ:
```
3
Lattice="3.731 0.000 0.000 -1.866 3.231 0.000 0.000 0.000 5.031" Properties=species:S:1:pos:R:3 pbc="T T T"
Cd 0.000 0.000 0.003
H 0.000 2.154 2.511
Tb 1.866 1.077 2.518
```

***

Entry from Alexandria via LeMat-Bulk: an optimized crystal structure of TbCdH (GGA-PBE).

Values from the calculation:
Total DFT energy (no corrections)   -2.9382 eV per atom
Magnetization   0.000 μB per formula unit
Space group   P-1, No. 2
Calculated density   5.52 g cm⁻³
V   27.3 Å³/atom

Geometry as extended XYZ:
```
6
Lattice="-0.120 -3.246 -1.374 -1.370 -1.214 2.988 -11.214 7.760 -4.383" Properties=species:S:1:pos:R:3 pbc="T T T"
Tb -11.195 4.191 -2.743
Tb -1.509 -0.891 -0.026
Cd -8.648 2.797 -4.197
Cd -4.056 0.503 1.429
H -6.070 -0.037 -1.927
H -6.634 3.337 -0.841
```

***

Entry from Alexandria via LeMat-Bulk: an optimized crystal structure of CdTc3H (GGA-PBE).

Values from the calculation:
Total DFT energy (no corrections)   -4.0399 eV per atom
Magnetization   9.981 μB per formula unit
Space group   Pm-3m, No. 221
Calculated density   5.02 g cm⁻³
V   27.0 Å³/atom

Geometry as extended XYZ:
```
5
Lattice="-4.188 1.033 -2.771 -2.569 -3.651 2.522 -1.466 3.448 3.500" Properties=species:S:1:pos:R:3 pbc="T T T"
Tc -2.094 0.516 -1.386
Tc -0.733 1.724 1.750
Tc -1.284 -1.826 1.261
Cd 0.000 0.000 0.000
H -4.111 0.415 1.625
```

***

Entry from Alexandria via LeMat-Bulk: an optimized crystal structure of CdTc2H (GGA-PBE).

Values from the calculation:
Total DFT energy (no corrections)   -5.6168 eV per atom
Magnetization   0.668 μB per formula unit
Space group   I4_1/amd, No. 141
Calculated density   8.65 g cm⁻³
V   14.9 Å³/atom

Geometry as extended XYZ:
```
8
Lattice="-4.798 -0.622 1.362 1.200 -4.332 2.248 -0.961 -0.164 5.814" Properties=species:S:1:pos:R:3 pbc="T T T"
H -0.780 -3.487 4.934
H -1.799 -2.477 1.805
Tc -1.889 -0.816 2.245
Tc -4.169 -3.375 6.957
Tc -1.770 -3.064 6.276
Tc -1.290 -2.982 3.369
Cd -3.779 -1.632 4.490
Cd 0.000 0.000 0.000
```

***

Entry from Alexandria via LeMat-Bulk: an optimized crystal structure of CdTc2H (GGA-PBE).

Values from the calculation:
Total DFT energy (no corrections)   -4.9094 eV per atom
Magnetization   0.000 μB per formula unit
Space group   Fm-3m, No. 225
Calculated density   9.07 g cm⁻³
V   14.2 Å³/atom

Geometry as extended XYZ:
```
4
Lattice="0.721 1.724 3.885 -2.049 3.607 1.172 -3.066 -0.149 3.027" Properties=species:S:1:pos:R:3 pbc="T T T"
Tc -1.098 1.295 2.021
Tc -3.295 3.886 6.063
H 0.000 0.000 0.000
Cd -2.197 2.591 4.042
```

***

Entry from Alexandria via LeMat-Bulk: an optimized crystal structure of Cd2TcH4 (GGA-PBE).

Values from the calculation:
Total DFT energy (no corrections)   -3.4051 eV per atom
Magnetization   0.000 μB per formula unit
Space group   I4/mmm, No. 139
Calculated density   7.50 g cm⁻³
V   10.3 Å³/atom

Geometry as extended XYZ:
```
7
Lattice="-0.303 -3.464 1.297 -1.291 -1.120 -3.295 4.110 -3.312 -2.574" Properties=species:S:1:pos:R:3 pbc="T T T"
Tc 0.000 0.000 0.000
H -0.645 -0.560 -1.647
H -0.152 -1.732 0.648
H 0.095 -4.936 -2.540
H 2.421 -2.961 -2.032
Cd 0.597 -2.582 -1.446
Cd 1.920 -5.315 -3.126
```

***

Entry from Alexandria via LeMat-Bulk: an optimized crystal structure of CdTcH3 (GGA-PBE).

Values from the calculation:
Total DFT energy (no corrections)   -4.0484 eV per atom
Magnetization   0.000 μB per formula unit
Space group   Pm-3m, No. 221
Calculated density   7.84 g cm⁻³
V   9.0 Å³/atom

Geometry as extended XYZ:
```
5
Lattice="3.562 0.000 0.000 0.000 3.562 0.000 0.000 0.000 3.562" Properties=species:S:1:pos:R:3 pbc="T T T"
H 1.781 0.000 0.000
H 0.000 1.781 0.000
H 0.000 0.000 1.781
Cd 1.781 1.781 1.781
Tc 0.000 0.000 0.000
```

***

Entry from Alexandria via LeMat-Bulk: an optimized crystal structure of TiCdTc2H (GGA-PBE).

Values from the calculation:
Total DFT energy (no corrections)   -5.1904 eV per atom
Magnetization   2.280 μB per formula unit
Space group   P4/mmm, No. 123
Calculated density   7.22 g cm⁻³
V   16.4 Å³/atom

Geometry as extended XYZ:
```
5
Lattice="5.083 0.000 0.000 0.000 3.179 0.000 0.000 0.000 5.083" Properties=species:S:1:pos:R:3 pbc="T T T"
Tc 2.541 0.000 0.000
Tc 0.000 0.000 2.541
Ti 2.541 1.589 2.541
Cd 0.000 0.000 0.000
H 0.000 1.589 0.000
```

***

Entry from Alexandria via LeMat-Bulk: an optimized crystal structure of Y2CdTcH (GGA-PBE).

Values from the calculation:
Total DFT energy (no corrections)   -5.7532 eV per atom
Magnetization   0.000 μB per formula unit
Space group   P4/mmm, No. 123
Calculated density   6.87 g cm⁻³
V   18.8 Å³/atom

Geometry as extended XYZ:
```
5
Lattice="5.080 0.000 0.000 0.000 5.080 0.000 0.000 0.000 3.647" Properties=species:S:1:pos:R:3 pbc="T T T"
Y 0.000 2.540 0.000
Y 2.540 0.000 0.000
H 0.000 0.000 0.000
Tc 0.000 0.000 1.823
Cd 2.540 2.540 1.823
```

***

Entry from Alexandria via LeMat-Bulk: an optimized crystal structure of Cd3TeH (GGA-PBE).

Values from the calculation:
Total DFT energy (no corrections)   -1.6176 eV per atom
Magnetization   0.000 μB per formula unit
Space group   Pm-3m, No. 221
Calculated density   7.24 g cm⁻³
V   21.4 Å³/atom

Geometry as extended XYZ:
```
5
Lattice="4.746 0.000 0.000 0.000 4.746 0.000 0.000 0.000 4.746" Properties=species:S:1:pos:R:3 pbc="T T T"
H 0.000 0.000 0.000
Cd 0.000 0.000 2.373
Cd 2.373 0.000 0.000
Cd 0.000 2.373 0.000
Te 2.373 2.373 2.373
```

***

Entry from Alexandria via LeMat-Bulk: an optimized crystal structure of CdTeH4 (GGA-PBE).

Values from the calculation:
Total DFT energy (no corrections)   -2.6377 eV per atom
Magnetization   0.000 μB per formula unit
Space group   C2/c, No. 15
Calculated density   3.64 g cm⁻³
V   18.6 Å³/atom

Geometry as extended XYZ:
```
12
Lattice="-1.159 -5.767 -1.147 -1.260 -5.448 3.853 -8.121 -1.169 1.676" Properties=species:S:1:pos:R:3 pbc="T T T"
H -3.997 -2.635 2.099
H -6.542 -9.750 2.284
H -8.052 -6.133 0.649
H -5.594 -5.307 1.491
H -2.021 -4.381 1.405
H -8.518 -8.003 2.978
H -2.487 -6.251 3.734
H -4.946 -7.077 2.891
Te -3.874 -7.984 1.961
Te -6.665 -4.401 2.422
Cd -2.103 -5.497 0.072
Cd -8.436 -6.888 4.310
```

***

Entry from Alexandria via LeMat-Bulk: an optimized crystal structure of CdTe2H (GGA-PBE).

Values from the calculation:
Total DFT energy (no corrections)   -2.5380 eV per atom
Magnetization   0.003 μB per formula unit
Space group   R-3m, No. 166
Calculated density   5.03 g cm⁻³
V   30.4 Å³/atom

Geometry as extended XYZ:
```
4
Lattice="-2.927 -0.666 6.669 1.418 -1.946 6.906 0.352 2.462 6.877" Properties=species:S:1:pos:R:3 pbc="T T T"
Te -1.047 -0.135 18.514
Te -0.110 -0.014 1.938
Cd -0.578 -0.075 10.226
H 0.000 0.000 0.000
```

***

Entry from Alexandria via LeMat-Bulk: an optimized crystal structure of Cd4Te4H3 (GGA-PBE).

Values from the calculation:
Total DFT energy (no corrections)   -2.3498 eV per atom
Magnetization   0.000 μB per formula unit
Space group   Amm2, No. 38
Calculated density   5.97 g cm⁻³
V   24.4 Å³/atom

Geometry as extended XYZ:
```
11
Lattice="6.159 0.000 0.000 -3.080 3.550 0.000 0.000 0.000 12.260" Properties=species:S:1:pos:R:3 pbc="T T T"
Te 3.080 0.722 3.193
Te 0.000 0.381 6.130
Te 3.080 0.722 9.066
Te 0.000 0.327 0.000
Cd 0.000 0.430 9.210
Cd 0.000 0.430 3.049
Cd 3.080 1.030 6.130
Cd 3.080 0.956 0.000
H 0.000 2.531 9.213
H 0.000 2.708 0.000
H 0.000 2.531 3.047
```

***

Entry from Alexandria via LeMat-Bulk: an optimized crystal structure of Cd2TeH2 (GGA-PBE).

Values from the calculation:
Total DFT energy (no corrections)   -2.0480 eV per atom
Magnetization   0.000 μB per formula unit
Space group   I4/mmm, No. 139
Calculated density   6.91 g cm⁻³
V   17.0 Å³/atom

Geometry as extended XYZ:
```
5
Lattice="-0.272 3.146 -2.012 -0.796 -2.020 -3.051 -6.455 0.898 -1.208" Properties=species:S:1:pos:R:3 pbc="T T T"
H -3.631 2.304 -2.875
H -3.893 -0.279 -3.395
Te 0.000 0.000 0.000
Cd -2.354 0.666 -2.124
Cd -5.169 1.358 -4.146
```

***

Entry from Alexandria via LeMat-Bulk: an optimized crystal structure of CdTe2H (GGA-PBE).

Values from the calculation:
Total DFT energy (no corrections)   -2.4100 eV per atom
Magnetization   0.000 μB per formula unit
Space group   I-42d, No. 122
Calculated density   6.05 g cm⁻³
V   25.3 Å³/atom

Geometry as extended XYZ:
```
8
Lattice="6.155 0.000 0.000 0.000 6.155 0.000 3.078 3.078 5.343" Properties=species:S:1:pos:R:3 pbc="T T T"
Te 7.694 7.211 4.008
Te 2.022 4.616 1.336
Te 4.616 5.099 4.008
Te 4.134 1.539 1.336
Cd 0.000 0.000 0.000
Cd 6.155 3.078 2.672
H 3.078 6.155 2.672
H 3.078 3.078 0.000
```

***

Entry from Alexandria via LeMat-Bulk: an optimized crystal structure of CdTe2H (GGA-PBE).

Values from the calculation:
Total DFT energy (no corrections)   -2.0654 eV per atom
Magnetization   0.569 μB per formula unit
Space group   Fm-3m, No. 225
Calculated density   6.75 g cm⁻³
V   22.7 Å³/atom

Geometry as extended XYZ:
```
4
Lattice="0.000 3.565 3.565 3.565 0.000 3.565 3.565 3.565 0.000" Properties=species:S:1:pos:R:3 pbc="T T T"
Te 1.783 1.783 1.783
Te 5.348 5.348 5.348
Cd 3.565 3.565 3.565
H 0.000 0.000 0.000
```

***

Entry from Alexandria via LeMat-Bulk: an optimized crystal structure of Cd2TeH2 (GGA-PBE).

Values from the calculation:
Total DFT energy (no corrections)   -1.8783 eV per atom
Magnetization   0.000 μB per formula unit
Space group   P4/mbm, No. 127
Calculated density   6.64 g cm⁻³
V   17.7 Å³/atom

Geometry as extended XYZ:
```
10
Lattice="-3.371 6.112 -3.300 -6.914 -2.606 2.237 0.253 1.515 2.547" Properties=species:S:1:pos:R:3 pbc="T T T"
H -4.502 -0.147 2.271
H -1.962 2.821 0.254
H -8.070 2.200 1.230
H -5.531 5.167 -0.787
Cd -3.061 3.525 -1.792
Cd -7.224 -0.019 0.729
Cd -7.302 3.643 -1.441
Cd -2.983 -0.137 0.378
Te -5.143 1.753 -0.531
Te 0.000 0.000 0.000
```